! GGA-PBE Ca2Cd12Ag5, relaxed; values from VASP
! - calculated total energy (eV for the cell shown) = -31.89
! - volume (Å³/atom) = 22.4
! - ΔH_f (0 K) (eV per atom) = -0.1395
! - DOS(E_F) (states/eV/f.u.) = 6.00
! - space-group type = R-3m (166)
! - total magnetization (μB/atom) = 0.0000
! - crystal system = trigonal
&SYSTEM
  ibrav = 0, nat = 19, ntyp = 3
/
ATOMIC_SPECIES
Ca 40.08 Ca.upf
Cd 112.41 Cd.upf
Ag 107.87 Ag.upf
CELL_PARAMETERS angstrom
7.5307 0.1356 0.7807
0.7178 7.4977 0.7807
0.1465 0.1356 7.5697
ATOMIC_POSITIONS crystal
Ca 0.6664 0.6664 0.6664
Ca 0.3336 0.3336 0.3336
Cd 0.2959 0.7041 0.0000
Cd 0.7041 0.0000 0.2959
Cd 0.0000 0.2959 0.7041
Cd 0.7041 0.2959 0.0000
Cd 0.2959 0.0000 0.7041
Cd 0.0000 0.7041 0.2959
Cd 0.3511 0.3511 0.8515
Cd 0.3511 0.8515 0.3511
Cd 0.8515 0.3511 0.3511
Cd 0.6489 0.1485 0.6489
Cd 0.6489 0.6489 0.1485
Cd 0.1485 0.6489 0.6489
Ag 0.0000 0.0000 0.5000
Ag 0.0000 0.5000 0.0000
Ag 0.5000 0.0000 0.0000
Ag 0.8966 0.8966 0.8966
Ag 0.1034 0.1034 0.1034